(1)
Below is a relaxed Nd3TmGa3 crystal, with properties calculated at the PBE level.

a b c (Å): 4.882 9.336 9.336
angles (deg): 120.00 90.00 90.00
Fractional coordinates of all 14 atoms:
Nd1 0.250 0.742 0.985
Nd2 0.750 0.258 0.015
Nd3 0.250 0.244 0.258
Nd4 0.750 0.985 0.244
Nd5 0.750 0.756 0.742
Nd6 0.250 0.015 0.756
Ga1 0.750 0.455 0.393
Ga2 0.750 0.938 0.545
Ga3 0.250 0.393 0.938
Ga4 0.250 0.545 0.607
Ga5 0.750 0.607 0.062
Ga6 0.250 0.062 0.455
Tm1 0.250 0.667 0.333
Tm2 0.750 0.333 0.667

Calculated values
ΔH_f (0 K) ... -237 kJ/mol of formula units

***

(2)
Below is a relaxed Nd8TmGa6 crystal, with properties calculated at the PBE level.

a b c (Å): 8.848 8.848 8.130
angles (deg): 57.04 57.04 60.00
Fractional coordinates of all 15 atoms:
Tm1 0.000 0.000 0.000
Ga1 0.055 0.730 0.834
Ga2 0.619 0.945 0.166
Ga3 0.945 0.270 0.166
Ga4 0.270 0.619 0.166
Ga5 0.730 0.381 0.834
Ga6 0.381 0.055 0.834
Nd1 0.334 0.334 0.998
Nd2 0.220 0.887 0.338
Nd3 0.113 0.446 0.662
Nd4 0.666 0.666 0.002
Nd5 0.780 0.113 0.662
Nd6 0.554 0.220 0.338
Nd7 0.887 0.554 0.338
Nd8 0.446 0.780 0.662

Calculated values
ΔH_f (0 K) ... -516 kJ/mol of formula units

***

(3)
Below is a relaxed Nd2TmGa crystal, with properties calculated at the PBE level.

a b c (Å): 3.698 3.698 10.614
angles (deg): 79.97 79.97 60.00
Fractional coordinates of all 4 atoms:
Nd1 0.261 0.261 0.217
Nd2 0.073 0.073 0.782
Tm1 0.500 0.500 0.500
Ga1 0.666 0.666 0.001

Calculated values
Offset from the most stable computed form ... 0.48 eV per formula unit
ΔH_f (0 K) ... -53 kJ/mol of formula units